A geometry-optimized SrHgMo2 structure, computed with GGA-PBE.

Unit cell a=4.537 b=4.537 c=7.168 alpha=82.21 beta=82.21 gamma=41.01
Atoms (fractional coordinates):
Hg 0.261 0.261 0.193
Mo 0.008 0.008 0.958
Mo 0.729 0.729 0.833
Sr 0.501 0.501 0.516

Values from the calculation:
- Calculated formation energy: 621.1 meV per atom
- Energy: -21.161 eV for the cell shown
- Total magnetic moment: 0.0 μB per formula unit
- Symmetry: Cm

A geometry-optimized Na2TlPdCl6 structure, computed with GGA-PBE.

Unit cell a=7.221 b=6.944 c=7.781 alpha=60.93 beta=59.66 gamma=58.57
Atoms (fractional coordinates):
Na 0.996 0.023 0.979
Pd 0.327 0.330 0.016
Cl 0.563 0.236 0.240
Cl 0.975 0.550 0.227
Na 0.524 0.518 0.426
Tl 0.814 0.811 0.558
Cl 0.388 0.688 0.787
Cl 0.142 0.397 0.765
Cl 0.685 0.134 0.792
Cl 0.248 0.975 0.225

Values from the calculation:
- Formation energy (no corrections): -1051 meV per atom
- Energy: -31.786 eV for the cell shown
- Total magnetic moment: 0.9 μB per formula unit
- Symmetry: P1

A geometry-optimized Na7ClO2F2 structure, computed with GGA-PBE.

Unit cell a=4.507 b=4.507 c=11.246 alpha=78.04 beta=78.04 gamma=88.39
Atoms (fractional coordinates):
Na 0.560 0.095 0.787
F 0.721 0.721 0.381
Na 0.348 0.348 0.416
Na 0.440 0.905 0.213
Na 0.905 0.440 0.213
Na 0.500 0.500 0.000
O 0.400 0.400 0.212
O 0.600 0.600 0.788
Cl 0.000 0.000 0.000
F 0.279 0.279 0.619
Na 0.652 0.652 0.584
Na 0.095 0.560 0.787

Values from the calculation:
- Formation energy (no corrections): -1727 meV per atom
- Energy: -45.467 eV for the cell shown
- Total magnetic moment: 0.2 μB per formula unit
- Symmetry: C2/m

A geometry-optimized Al4InCu structure, computed with GGA-PBE.

Unit cell a=5.381 b=5.381 c=5.381 alpha=60.00 beta=60.00 gamma=60.00
Atoms (fractional coordinates):
Al 0.376 0.873 0.376
Al 0.376 0.376 0.376
In 0.000 0.000 0.000
Cu 0.750 0.750 0.750
Al 0.873 0.376 0.376
Al 0.376 0.376 0.873

Values from the calculation:
- Calculated formation energy: 266.1 meV per atom
- Energy: -20.208 eV for the cell shown
- Total magnetic moment: 0.0 μB per formula unit
- Symmetry: F-43m

A geometry-optimized Dy3ZnIr8 structure, computed with GGA-PBE.

Unit cell a=5.322 b=5.322 c=9.207 alpha=73.20 beta=73.20 gamma=60.00
Atoms (fractional coordinates):
Ir 0.561 0.061 0.317
Ir 0.311 0.311 0.066
Ir 0.562 0.562 0.813
Dy 0.624 0.624 0.128
Ir 0.062 0.562 0.813
Ir 0.061 0.561 0.317
Ir 0.562 0.062 0.813
Dy 0.006 0.006 0.981
Zn 0.132 0.132 0.604
Ir 0.811 0.811 0.567
Ir 0.061 0.061 0.317
Dy 0.495 0.495 0.514

Values from the calculation:
- Calculated formation energy: -580.1 meV per atom
- Energy: -92.930 eV for the cell shown
- Total magnetic moment: 0.0 μB per formula unit
- Symmetry: R3m

A geometry-optimized ScBePO2 structure, computed with GGA-PBE.

Unit cell a=3.878 b=3.878 c=5.634 alpha=90.00 beta=90.00 gamma=90.00
Atoms (fractional coordinates):
O 0.500 0.000 0.000
Sc 0.000 0.000 0.000
P 0.000 0.000 0.500
Be 0.500 0.500 0.500
O 0.000 0.500 0.000

Values from the calculation:
- Formation energy (no corrections): -582 meV per atom
- Energy: -28.296 eV for the cell shown
- Total magnetic moment: 0.1 μB per formula unit
- Symmetry: P4/mmm
- Offset from the most stable computed form: 412 meV per atom

A geometry-optimized La2TbPrNd structure, computed with GGA-PBE.

Unit cell a=7.063 b=8.036 c=6.377 alpha=89.97 beta=90.00 gamma=90.00
Atoms (fractional coordinates):
Tb 0.150 0.500 0.750
Nd 0.588 0.000 0.250
Pr 0.000 0.000 0.000
La 0.310 0.302 0.250
La 0.690 0.698 0.750
La 0.310 0.698 0.250
Nd 0.412 0.000 0.750
Pr 0.000 0.000 0.500
Tb 0.850 0.500 0.250
La 0.690 0.302 0.750

Values from the calculation:
- Calculated formation energy: 237.0 meV per atom
- Energy: -45.695 eV for the cell shown
- Total magnetic moment: 0.0 μB per formula unit
- Symmetry: Pmma

A geometry-optimized Ca2LaSe structure, computed with GGA-PBE.

Unit cell a=4.055 b=5.607 c=5.389 alpha=90.00 beta=90.00 gamma=90.00
Atoms (fractional coordinates):
Ca 0.000 0.000 0.000
La 0.500 0.000 0.500
Se 0.000 0.500 0.500
Ca 0.500 0.500 0.000

Values from the calculation:
- Formation energy (no corrections): -481 meV per atom
- Energy: -14.339 eV for the cell shown
- Total magnetic moment: 0.0 μB per formula unit
- Symmetry: Pmmm

A geometry-optimized CaGa12Cu6 structure, computed with GGA-PBE.

Unit cell a=7.157 b=7.157 c=7.157 alpha=104.68 beta=104.68 gamma=104.68
Atoms (fractional coordinates):
Ga 0.397 0.146 0.397
Ga 0.500 0.886 0.114
Ga 0.603 0.854 0.603
Cu 0.288 0.714 0.714
Ga 0.854 0.603 0.603
Ga 0.500 0.114 0.886
Ga 0.886 0.500 0.114
Ga 0.146 0.397 0.397
Ga 0.114 0.500 0.886
Cu 0.714 0.288 0.714
Cu 0.286 0.712 0.286
Ga 0.603 0.603 0.854
Cu 0.714 0.714 0.288
Ga 0.397 0.397 0.146
Ga 0.886 0.114 0.500
Cu 0.712 0.286 0.286
Ga 0.114 0.886 0.500
Cu 0.286 0.286 0.712
Ca 0.000 0.000 0.000

Values from the calculation:
- Calculated formation energy: -90.9 meV per atom
- Energy: -64.628 eV for the cell shown
- Total magnetic moment: 0.0 μB per formula unit
- Symmetry: R-3m

A geometry-optimized La2MgInRu structure, computed with GGA-PBE.

Unit cell a=5.410 b=5.410 c=5.336 alpha=90.00 beta=90.00 gamma=90.00
Atoms (fractional coordinates):
La 0.500 0.000 0.000
Mg 0.500 0.500 0.500
Ru 0.000 0.000 0.000
La 0.000 0.500 0.000
In 0.000 0.000 0.500

Values from the calculation:
- Calculated formation energy: -232.1 meV per atom
- Energy: -24.624 eV for the cell shown
- Total magnetic moment: 0.0 μB per formula unit
- Symmetry: P4/mmm
- Offset from the most stable computed form: 18 meV per atom

A geometry-optimized Ho8SbTe4Se3 structure, computed with GGA-PBE.

Unit cell a=8.445 b=8.531 c=8.445 alpha=119.66 beta=120.00 gamma=90.00
Atoms (fractional coordinates):
Sb 0.000 0.500 0.000
Ho 0.753 0.278 0.506
Ho 0.247 0.722 0.975
Te 0.500 0.000 0.500
Se 0.500 0.500 0.000
Ho 0.753 0.278 0.025
Ho 0.738 0.715 0.476
Te 0.000 0.000 0.500
Te 0.500 0.000 0.000
Ho 0.273 0.278 0.025
Ho 0.247 0.722 0.494
Ho 0.262 0.285 0.524
Ho 0.727 0.722 0.975
Te 0.000 0.000 0.000
Se 0.500 0.500 0.500
Se 0.000 0.500 0.500

Values from the calculation:
- Formation energy (no corrections): -1428 meV per atom
- Energy: -86.612 eV for the cell shown
- Total magnetic moment: 0.0 μB per formula unit
- Symmetry: R-3m

A geometry-optimized Hf8CoAs2 structure, computed with GGA-PBE.

Unit cell a=5.803 b=6.971 c=6.971 alpha=68.34 beta=109.41 gamma=109.41
Atoms (fractional coordinates):
Co 0.000 0.000 0.000
Hf 0.775 0.125 0.125
Hf 0.766 0.566 0.188
Hf 0.234 0.812 0.434
Hf 0.234 0.434 0.812
As 0.381 0.190 0.190
As 0.619 0.810 0.810
Hf 0.749 0.610 0.610
Hf 0.225 0.875 0.875
Hf 0.766 0.188 0.566
Hf 0.251 0.390 0.390

Values from the calculation:
- Calculated formation energy: -118.2 meV per atom
- Energy: -97.332 eV for the cell shown
- Total magnetic moment: 0.0 μB per formula unit
- Symmetry: C2/m

A geometry-optimized Ce2NdZn2Hg2 structure, computed with GGA-PBE.

Unit cell a=4.571 b=4.571 c=9.601 alpha=76.23 beta=76.23 gamma=60.00
Atoms (fractional coordinates):
Zn 0.585 0.585 0.244
Nd 0.000 0.000 0.000
Ce 0.857 0.857 0.429
Hg 0.736 0.736 0.792
Zn 0.415 0.415 0.756
Hg 0.264 0.264 0.208
Ce 0.143 0.143 0.571

Values from the calculation:
- Calculated formation energy: -271.5 meV per atom
- Energy: -21.688 eV for the cell shown
- Total magnetic moment: 1.2 μB per formula unit
- Symmetry: R-3m

A geometry-optimized SmPuOsRu structure, computed with GGA-PBE.

Unit cell a=4.845 b=4.845 c=4.845 alpha=60.00 beta=60.00 gamma=60.00
Atoms (fractional coordinates):
Os 0.250 0.250 0.250
Pu 0.500 0.500 0.500
Sm 0.000 0.000 0.000
Ru 0.750 0.750 0.750

Values from the calculation:
- Calculated formation energy: -28.1 meV per atom
- Energy: -39.669 eV for the cell shown
- Total magnetic moment: 3.9 μB per formula unit
- Symmetry: F-43m

A geometry-optimized NdMgCd3 structure, computed with GGA-PBE.

Unit cell a=6.007 b=6.987 c=6.987 alpha=120.00 beta=90.00 gamma=90.00
Atoms (fractional coordinates):
Mg 0.500 0.000 0.000
Nd 0.250 0.333 0.667
Cd 0.250 0.804 0.608
Cd 0.250 0.804 0.196
Cd 0.750 0.196 0.804
Mg 0.000 0.000 0.000
Cd 0.750 0.608 0.804
Nd 0.750 0.667 0.333
Cd 0.250 0.392 0.196
Cd 0.750 0.196 0.392

Values from the calculation:
- Calculated formation energy: -149.7 meV per atom
- Energy: -19.712 eV for the cell shown
- Total magnetic moment: 0.0 μB per formula unit
- Symmetry: P6_3/mmc

A geometry-optimized Sr2MgAg2 structure, computed with GGA-PBE.

Unit cell a=3.990 b=3.990 c=10.356 alpha=78.89 beta=78.89 gamma=90.00
Atoms (fractional coordinates):
Mg 0.000 0.000 0.000
Ag 0.750 0.250 0.500
Sr 0.615 0.615 0.770
Sr 0.385 0.385 0.230
Ag 0.250 0.750 0.500

Values from the calculation:
- Calculated formation energy: -52.9 meV per atom
- Energy: -10.925 eV for the cell shown
- Total magnetic moment: 0.0 μB per formula unit
- Symmetry: I4/mmm
- Offset from the most stable computed form: 217 meV per atom